# 1
# LaAlF, optimized geometry, DFT PBE
data_LaAlF
_chemical_formula_sum 'La2 Al2 F2'
_symmetry_space_group_name_H-M 'P 1 m 1'
_symmetry_Int_Tables_number 6
_cell_length_a 4.3376
_cell_length_b 3.6543
_cell_length_c 8.2876
_cell_angle_alpha 90.00
_cell_angle_beta 97.24
_cell_angle_gamma 90.00
loop_
_symmetry_equiv_pos_as_xyz
'x,y,z'
'x,-y,z'
loop_
_atom_site_label
_atom_site_type_symbol
_atom_site_fract_x
_atom_site_fract_y
_atom_site_fract_z
La1 La 0.0000 0.0000 0.0000
La2 La 0.3688 0.0000 0.4311
Al1 Al 0.4494 0.5000 0.7865
Al2 Al 0.9104 0.5000 0.6243
F1 F 0.1112 0.5000 0.2130
F2 F 0.5619 0.0000 0.1668
# distance to the lowest polymorph of the same formula: 142 meV per atom
# total magnetic moment: 0.000 μB/atom
# final energy: -5.38 eV per atom
# energy relative to the elements, uncorrected: -1869.5 meV per atom

***

# 2
# ReSi2Se, optimized geometry, DFT PBE
data_ReSi2Se
_chemical_formula_sum 'Re1 Si2 Se1'
_symmetry_space_group_name_H-M 'P 1 2/m 1'
_symmetry_Int_Tables_number 10
_cell_length_a 4.3940
_cell_length_b 3.0740
_cell_length_c 4.6565
_cell_angle_alpha 90.00
_cell_angle_beta 106.86
_cell_angle_gamma 90.00
loop_
_symmetry_equiv_pos_as_xyz
'x,y,z'
'-x,-y,-z'
'-x,y,-z'
'x,-y,z'
loop_
_atom_site_label
_atom_site_type_symbol
_atom_site_fract_x
_atom_site_fract_y
_atom_site_fract_z
Re1 Re 0.0000 0.0000 0.0000
Si1 Si 0.5000 0.0000 0.5000
Si2 Si 0.5000 0.5000 0.0000
Se1 Se 0.0000 0.5000 0.5000
# total magnetic moment: 0.000 μB/atom
# final energy: -6.13 eV per atom
# energy relative to the elements, uncorrected: 562.8 meV per atom

***

# 3
# Ca2Ag3Pd, optimized geometry, DFT PBE
data_Ca2Ag3Pd
_chemical_formula_sum 'Ca4 Ag6 Pd2'
_symmetry_space_group_name_H-M 'C 1 m 1'
_symmetry_Int_Tables_number 8
_cell_length_a 10.6162
_cell_length_b 4.5541
_cell_length_c 7.2625
_cell_angle_alpha 90.00
_cell_angle_beta 128.71
_cell_angle_gamma 90.00
loop_
_symmetry_equiv_pos_as_xyz
'x,y,z'
'x,-y,z'
'x+1/2,y+1/2,z'
'x+1/2,-y+1/2,z'
loop_
_atom_site_label
_atom_site_type_symbol
_atom_site_fract_x
_atom_site_fract_y
_atom_site_fract_z
Ca1 Ca 0.0000 0.0000 0.0000
Ca2 Ca 0.1017 0.0000 0.6075
Ag1 Ag 0.2095 0.5000 0.3880
Ag2 Ag 0.3833 0.0000 0.1945
Ag3 Ag 0.3920 0.0000 0.5998
Pd1 Pd 0.2038 0.5000 0.9878
# total magnetic moment: 0.000 μB/atom
# final energy: -3.33 eV per atom

***

# 4
# BeAl2Mo, optimized geometry, DFT PBE
data_BeAl2Mo
_chemical_formula_sum 'Be3 Al6 Mo3'
_symmetry_space_group_name_H-M 'R 3 m'
_symmetry_Int_Tables_number 160
_symmetry_space_group_name_Hall 'R 3 -2"'
_cell_length_a 2.8357
_cell_length_b 2.8357
_cell_length_c 25.0969
_cell_angle_alpha 90.00
_cell_angle_beta 90.00
_cell_angle_gamma 120.00
loop_
_atom_site_label
_atom_site_type_symbol
_atom_site_fract_x
_atom_site_fract_y
_atom_site_fract_z
Be1 Be 0.0000 0.0000 0.0000
Al1 Al 0.0000 0.0000 0.2568
Al2 Al 0.0000 0.0000 0.4986
Mo1 Mo 0.0000 0.0000 0.7444
# total magnetic moment: 0.000 μB/atom
# final energy: -5.38 eV per atom

***

# 5
# Er6InAs2S3, optimized geometry, DFT PBE
data_Er6InAs2S3
_chemical_formula_sum 'Er12 In2 As4 S6'
_symmetry_space_group_name_H-M 'C 1 2/m 1'
_symmetry_Int_Tables_number 12
_cell_length_a 17.5904
_cell_length_b 3.9734
_cell_length_c 8.1480
_cell_angle_alpha 90.00
_cell_angle_beta 103.20
_cell_angle_gamma 90.00
loop_
_symmetry_equiv_pos_as_xyz
'x,y,z'
'-x,-y,-z'
'-x,y,-z'
'x,-y,z'
'x+1/2,y+1/2,z'
'-x+1/2,-y+1/2,-z'
'-x+1/2,y+1/2,-z'
'x+1/2,-y+1/2,z'
loop_
_atom_site_label
_atom_site_type_symbol
_atom_site_fract_x
_atom_site_fract_y
_atom_site_fract_z
Er1 Er 0.0015 0.0000 0.2316
Er2 Er 0.1684 0.5000 0.0825
Er3 Er 0.1716 0.5000 0.5862
In1 In 0.0000 0.5000 0.5000
As1 As 0.1666 0.0000 0.8342
S1 S 0.0000 0.5000 0.0000
S2 S 0.1687 0.0000 0.3314
# total magnetic moment: 0.000 μB/atom
# final energy: -5.82 eV per atom
# energy relative to the elements, uncorrected: -1504.8 meV per atom

***

# 6
# PmSm4Tm6, optimized geometry, DFT PBE
data_PmSm4Tm6
_chemical_formula_sum 'Pm2 Sm8 Tm12'
_symmetry_space_group_name_H-M 'I -4 2 m'
_symmetry_Int_Tables_number 121
_symmetry_space_group_name_Hall 'I -4 2'
_cell_length_a 7.7322
_cell_length_b 7.7322
_cell_length_c 12.8442
_cell_angle_alpha 90.00
_cell_angle_beta 90.00
_cell_angle_gamma 90.00
loop_
_atom_site_label
_atom_site_type_symbol
_atom_site_fract_x
_atom_site_fract_y
_atom_site_fract_z
Pm1 Pm 0.0000 0.0000 0.0000
Sm1 Sm 0.1721 0.1721 0.4253
Tm1 Tm 0.0000 0.5000 0.0000
Tm2 Tm 0.2462 0.2462 0.6836
# distance to the lowest polymorph of the same formula: 155 meV per atom
# total magnetic moment: 0.000 μB/atom
# final energy: -4.12 eV per atom

***

# 7
# Mn2Sb6Pt, optimized geometry, DFT PBE
data_Mn2Sb6Pt
_chemical_formula_sum 'Mn2 Sb6 Pt1'
_symmetry_space_group_name_H-M 'P -3 1 m'
_symmetry_Int_Tables_number 162
_symmetry_space_group_name_Hall '-P 3 2'
_cell_length_a 6.6687
_cell_length_b 6.6687
_cell_length_c 5.5327
_cell_angle_alpha 90.00
_cell_angle_beta 90.00
_cell_angle_gamma 120.00
loop_
_atom_site_label
_atom_site_type_symbol
_atom_site_fract_x
_atom_site_fract_y
_atom_site_fract_z
Mn1 Mn 0.3333 0.6667 0.0000
Sb1 Sb 0.0000 0.3622 0.2763
Pt1 Pt 0.0000 0.0000 0.5000
# total magnetic moment: 0.520 μB/atom
# final energy: -5.54 eV per atom
# energy relative to the elements, uncorrected: -81.5 meV per atom

***

# 8
# NiAsRh, optimized geometry, DFT PBE
data_NiAsRh
_chemical_formula_sum 'Ni1 As1 Rh1'
_symmetry_space_group_name_H-M 'P 3 m 1'
_symmetry_Int_Tables_number 156
_cell_length_a 2.9211
_cell_length_b 2.9211
_cell_length_c 5.6973
_cell_angle_alpha 90.00
_cell_angle_beta 90.00
_cell_angle_gamma 120.00
loop_
_symmetry_equiv_pos_as_xyz
'x,y,z'
'-y,x-y,z'
'-x+y,-x,z'
'-y,-x,z'
'-x+y,y,z'
'x,x-y,z'
loop_
_atom_site_label
_atom_site_type_symbol
_atom_site_fract_x
_atom_site_fract_y
_atom_site_fract_z
Ni1 Ni 0.0000 0.0000 0.0000
As1 As 0.3333 0.6667 0.6994
Rh1 Rh 0.6667 0.3333 0.3646
# total magnetic moment: 0.000 μB/atom
# final energy: -5.94 eV per atom

***

# 9
# Ga3IrPd, optimized geometry, DFT PBE
data_Ga3IrPd
_chemical_formula_sum 'Ga3 Ir1 Pd1'
_symmetry_space_group_name_H-M 'P m -3 m'
_symmetry_Int_Tables_number 221
_symmetry_space_group_name_Hall '-P 4 2 3'
_cell_length_a 4.7498
_cell_length_b 4.7498
_cell_length_c 4.7498
_cell_angle_alpha 90.00
_cell_angle_beta 90.00
_cell_angle_gamma 90.00
loop_
_atom_site_label
_atom_site_type_symbol
_atom_site_fract_x
_atom_site_fract_y
_atom_site_fract_z
Ga1 Ga 0.0000 0.0000 0.5000
Ir1 Ir 0.0000 0.0000 0.0000
Pd1 Pd 0.5000 0.5000 0.5000
# distance to the lowest polymorph of the same formula: 472 meV per atom
# total magnetic moment: 0.000 μB/atom
# final energy: -4.61 eV per atom

***

# 10
# CaSmRuAu, optimized geometry, DFT PBE
data_CaSmRuAu
_chemical_formula_sum 'Ca4 Sm4 Ru4 Au4'
_symmetry_space_group_name_H-M 'F -4 3 m'
_symmetry_Int_Tables_number 216
_symmetry_space_group_name_Hall 'F -4 2 3'
_cell_length_a 7.0837
_cell_length_b 7.0837
_cell_length_c 7.0837
_cell_angle_alpha 90.00
_cell_angle_beta 90.00
_cell_angle_gamma 90.00
loop_
_atom_site_label
_atom_site_type_symbol
_atom_site_fract_x
_atom_site_fract_y
_atom_site_fract_z
Ca1 Ca 0.0000 0.0000 0.0000
Sm1 Sm 0.0000 0.0000 0.5000
Ru1 Ru 0.2500 0.2500 0.2500
Au1 Au 0.2500 0.2500 0.7500
# total magnetic moment: 0.000 μB/atom
# final energy: -5.14 eV per atom

***

# 11
# CsSm2AgI8, optimized geometry, DFT PBE
data_CsSm2AgI8
_chemical_formula_sum 'Cs3 Sm6 Ag3 I24'
_symmetry_space_group_name_H-M 'R -3'
_symmetry_Int_Tables_number 148
_symmetry_space_group_name_Hall '-R 3'
_cell_length_a 8.1253
_cell_length_b 8.1253
_cell_length_c 28.7289
_cell_angle_alpha 90.00
_cell_angle_beta 90.00
_cell_angle_gamma 120.00
loop_
_atom_site_label
_atom_site_type_symbol
_atom_site_fract_x
_atom_site_fract_y
_atom_site_fract_z
Cs1 Cs 0.0000 0.0000 0.0000
Sm1 Sm 0.0000 0.0000 0.1976
Ag1 Ag 0.0000 0.0000 0.5000
I1 I 0.0000 0.0000 0.3022
I2 I 0.0308 0.6321 0.7829
# total magnetic moment: 0.000 μB/atom
# final energy: -3.32 eV per atom
# energy relative to the elements, uncorrected: -1192.9 meV per atom

***

# 12
# Sc5Se2N, optimized geometry, DFT PBE
data_Sc5Se2N
_chemical_formula_sum 'Sc20 Se8 N4'
_symmetry_space_group_name_H-M 'C m c m'
_symmetry_Int_Tables_number 63
_symmetry_space_group_name_Hall '-C 2c 2'
_cell_length_a 5.1213
_cell_length_b 10.3226
_cell_length_c 12.2201
_cell_angle_alpha 90.00
_cell_angle_beta 90.00
_cell_angle_gamma 90.00
loop_
_atom_site_label
_atom_site_type_symbol
_atom_site_fract_x
_atom_site_fract_y
_atom_site_fract_z
Sc1 Sc 0.0000 0.0627 0.1301
Sc2 Sc 0.0000 0.3068 0.7500
Sc3 Sc 0.0000 0.3663 0.1229
Se1 Se 0.0000 0.1826 0.5588
N1 N 0.0000 0.2191 0.2500
# total magnetic moment: 0.000 μB/atom
# final energy: -6.97 eV per atom
# energy relative to the elements, uncorrected: -1105.8 meV per atom